An optimized crystal structure of BaAg2Pd2, computed with GGA-PBEsol.

Computed properties:
The calculation puts the total energy at -21.67 eV for the cell shown. As for the energy of formation from the pure elements: -1.0 eV/f.u. For the density, the calculation gives 8770 kg/m³.

Geometry as CIF:
```
data_BaAg2Pd2
_chemical_formula_sum 'Ba1 Ag2 Pd2'
_symmetry_space_group_name_H-M 'P 1'
_symmetry_Int_Tables_number 1
_symmetry_space_group_name_Hall 'P 1'
_cell_length_a 4.201
_cell_length_b 4.201
_cell_length_c 6.759
_cell_angle_alpha 108.10
_cell_angle_beta 108.10
_cell_angle_gamma 90.00
loop_
_atom_site_label
_atom_site_type_symbol
_atom_site_fract_x
_atom_site_fract_y
_atom_site_fract_z
Pd1 Pd 0.393 0.393 0.786
Pd2 Pd 0.607 0.607 0.214
Ba1 Ba 0.000 0.000 0.000
Ag1 Ag 0.250 0.750 0.500
Ag2 Ag 0.750 0.250 0.500
```

=====

An optimized crystal structure of BaAgPt4, computed with GGA-PBEsol.

Computed properties:
The calculation puts the total energy at -35.14 eV for the cell shown. As for the energy of formation from the pure elements: -1.8 eV/f.u. For the density, the calculation gives 15111 kg/m³.

Geometry as CIF:
```
data_BaAgPt4
_chemical_formula_sum 'Ba1 Ag1 Pt4'
_symmetry_space_group_name_H-M 'P 1'
_symmetry_Int_Tables_number 1
_symmetry_space_group_name_Hall 'P 1'
_cell_length_a 5.422
_cell_length_b 5.422
_cell_length_c 5.422
_cell_angle_alpha 60.00
_cell_angle_beta 60.00
_cell_angle_gamma 60.00
loop_
_atom_site_label
_atom_site_type_symbol
_atom_site_fract_x
_atom_site_fract_y
_atom_site_fract_z
Ag1 Ag 0.750 0.750 0.750
Ba1 Ba 0.000 0.000 0.000
Pt1 Pt 0.375 0.375 0.375
Pt2 Pt 0.375 0.375 0.874
Pt3 Pt 0.874 0.375 0.375
Pt4 Pt 0.375 0.874 0.375
```

=====

An optimized crystal structure of BaAg2Pt, computed with GGA-PBEsol.

Computed properties:
The calculation puts the total energy at -15.50 eV for the cell shown. As for the energy of formation from the pure elements: 0.2 eV/f.u. The distance to the lowest polymorph of the same formula comes out at 313.6 meV/atom. For the density, the calculation gives 10296 kg/m³.

Geometry as CIF:
```
data_BaAg2Pt
_chemical_formula_sum 'Ba1 Ag2 Pt1'
_symmetry_space_group_name_H-M 'P 1'
_symmetry_Int_Tables_number 1
_symmetry_space_group_name_Hall 'P 1'
_cell_length_a 5.000
_cell_length_b 5.000
_cell_length_c 5.000
_cell_angle_alpha 60.00
_cell_angle_beta 60.00
_cell_angle_gamma 60.00
loop_
_atom_site_label
_atom_site_type_symbol
_atom_site_fract_x
_atom_site_fract_y
_atom_site_fract_z
Ag1 Ag 0.250 0.250 0.250
Ag2 Ag 0.750 0.750 0.750
Ba1 Ba 0.000 0.000 0.000
Pt1 Pt 0.500 0.500 0.500
```

=====

An optimized crystal structure of BaAg2Pt, computed with GGA-PBEsol.

Computed properties:
The calculation puts the total energy at -16.76 eV for the cell shown. As for the energy of formation from the pure elements: -1.0 eV/f.u. The distance to the lowest polymorph of the same formula comes out at 0.0 meV/atom. For the density, the calculation gives 9075 kg/m³.

Geometry as CIF:
```
data_BaAg2Pt
_chemical_formula_sum 'Ba1 Ag2 Pt1'
_symmetry_space_group_name_H-M 'P 1'
_symmetry_Int_Tables_number 1
_symmetry_space_group_name_Hall 'P 1'
_cell_length_a 4.650
_cell_length_b 4.650
_cell_length_c 5.992
_cell_angle_alpha 67.17
_cell_angle_beta 67.17
_cell_angle_gamma 60.00
loop_
_atom_site_label
_atom_site_type_symbol
_atom_site_fract_x
_atom_site_fract_y
_atom_site_fract_z
Pt1 Pt 0.307 0.307 0.080
Ba1 Ba 0.501 0.501 0.497
Ag1 Ag 0.990 0.990 0.030
Ag2 Ag 0.694 0.694 0.918
```

=====

An optimized crystal structure of BaAg2Pt, computed with GGA-PBEsol.

Computed properties:
The calculation puts the total energy at -15.93 eV for the cell shown. As for the energy of formation from the pure elements: -0.2 eV/f.u. The distance to the lowest polymorph of the same formula comes out at 206.2 meV/atom. For the density, the calculation gives 10305 kg/m³.

Geometry as CIF:
```
data_BaAg2Pt
_chemical_formula_sum 'Ba1 Ag2 Pt1'
_symmetry_space_group_name_H-M 'P 1'
_symmetry_Int_Tables_number 1
_symmetry_space_group_name_Hall 'P 1'
_cell_length_a 3.516
_cell_length_b 3.497
_cell_length_c 7.184
_cell_angle_alpha 90.00
_cell_angle_beta 90.00
_cell_angle_gamma 90.00
loop_
_atom_site_label
_atom_site_type_symbol
_atom_site_fract_x
_atom_site_fract_y
_atom_site_fract_z
Ag1 Ag 0.000 0.000 0.993
Ag2 Ag 0.500 0.500 0.183
Ba1 Ba 0.000 0.000 0.523
Pt1 Pt 0.500 0.500 0.801
```

=====

An optimized crystal structure of RbBa3Ag, computed with GGA-PBEsol.

Computed properties:
The calculation puts the total energy at -10.81 eV for the cell shown. As for the energy of formation from the pure elements: 0.0 eV/f.u. For the density, the calculation gives 3519 kg/m³.

Geometry as CIF:
```
data_RbBa3Ag
_chemical_formula_sum 'Rb1 Ba3 Ag1'
_symmetry_space_group_name_H-M 'P 1'
_symmetry_Int_Tables_number 1
_symmetry_space_group_name_Hall 'P 1'
_cell_length_a 6.585
_cell_length_b 6.585
_cell_length_c 6.585
_cell_angle_alpha 90.00
_cell_angle_beta 90.00
_cell_angle_gamma 90.00
loop_
_atom_site_label
_atom_site_type_symbol
_atom_site_fract_x
_atom_site_fract_y
_atom_site_fract_z
Rb1 Rb 0.500 0.500 0.500
Ba1 Ba 0.000 0.500 0.000
Ba2 Ba 0.000 0.000 0.500
Ba3 Ba 0.500 0.000 0.000
Ag1 Ag 0.000 0.000 0.000
```

=====

An optimized crystal structure of Rb2BaSrAg, computed with GGA-PBEsol.

Computed properties:
The calculation puts the total energy at -8.33 eV for the cell shown. As for the energy of formation from the pure elements: 1.0 eV/f.u. For the density, the calculation gives 2937 kg/m³.

Geometry as CIF:
```
data_Rb2BaSrAg
_chemical_formula_sum 'Rb2 Ba1 Sr1 Ag1'
_symmetry_space_group_name_H-M 'P 1'
_symmetry_Int_Tables_number 1
_symmetry_space_group_name_Hall 'P 1'
_cell_length_a 6.367
_cell_length_b 6.689
_cell_length_c 6.689
_cell_angle_alpha 90.00
_cell_angle_beta 90.00
_cell_angle_gamma 90.00
loop_
_atom_site_label
_atom_site_type_symbol
_atom_site_fract_x
_atom_site_fract_y
_atom_site_fract_z
Sr1 Sr 0.500 0.000 0.000
Rb1 Rb 0.000 0.000 0.500
Rb2 Rb 0.000 0.500 0.000
Ba1 Ba 0.500 0.500 0.500
Ag1 Ag 0.000 0.000 0.000
```

=====

An optimized crystal structure of BaReAg3, computed with GGA-PBEsol.

Computed properties:
The calculation puts the total energy at -21.04 eV for the cell shown. As for the energy of formation from the pure elements: 4.4 eV/f.u. For the density, the calculation gives 8249 kg/m³.

Geometry as CIF:
```
data_BaReAg3
_chemical_formula_sum 'Ba1 Re1 Ag3'
_symmetry_space_group_name_H-M 'P 1'
_symmetry_Int_Tables_number 1
_symmetry_space_group_name_Hall 'P 1'
_cell_length_a 5.069
_cell_length_b 5.069
_cell_length_c 5.069
_cell_angle_alpha 90.00
_cell_angle_beta 90.00
_cell_angle_gamma 90.00
loop_
_atom_site_label
_atom_site_type_symbol
_atom_site_fract_x
_atom_site_fract_y
_atom_site_fract_z
Re1 Re 0.000 0.000 0.000
Ba1 Ba 0.500 0.500 0.500
Ag1 Ag 0.000 0.500 0.000
Ag2 Ag 0.000 0.000 0.500
Ag3 Ag 0.500 0.000 0.000
```

=====

An optimized crystal structure of Ba2ReAg, computed with GGA-PBEsol.

Computed properties:
The calculation puts the total energy at -17.54 eV for the cell shown. As for the energy of formation from the pure elements: 3.4 eV/f.u. For the density, the calculation gives 8402 kg/m³.

Geometry as CIF:
```
data_Ba2ReAg
_chemical_formula_sum 'Ba2 Re1 Ag1'
_symmetry_space_group_name_H-M 'P 1'
_symmetry_Int_Tables_number 1
_symmetry_space_group_name_Hall 'P 1'
_cell_length_a 3.544
_cell_length_b 3.544
_cell_length_c 8.951
_cell_angle_alpha 90.00
_cell_angle_beta 90.00
_cell_angle_gamma 90.00
loop_
_atom_site_label
_atom_site_type_symbol
_atom_site_fract_x
_atom_site_fract_y
_atom_site_fract_z
Re1 Re 0.500 0.500 0.000
Ba1 Ba 0.000 0.000 0.764
Ba2 Ba 0.000 0.000 0.236
Ag1 Ag 0.500 0.500 0.500
```

=====

An optimized crystal structure of Ba2ReAgRh, computed with GGA-PBEsol.

Computed properties:
The calculation puts the total energy at -25.20 eV for the cell shown. As for the energy of formation from the pure elements: 3.9 eV/f.u. For the density, the calculation gives 6722 kg/m³.

Geometry as CIF:
```
data_Ba2ReAgRh
_chemical_formula_sum 'Ba2 Re1 Ag1 Rh1'
_symmetry_space_group_name_H-M 'P 1'
_symmetry_Int_Tables_number 1
_symmetry_space_group_name_Hall 'P 1'
_cell_length_a 4.638
_cell_length_b 5.981
_cell_length_c 5.981
_cell_angle_alpha 90.00
_cell_angle_beta 90.00
_cell_angle_gamma 90.00
loop_
_atom_site_label
_atom_site_type_symbol
_atom_site_fract_x
_atom_site_fract_y
_atom_site_fract_z
Re1 Re 0.500 0.000 0.000
Rh1 Rh 0.000 0.000 0.000
Ba1 Ba 0.000 0.000 0.500
Ba2 Ba 0.000 0.500 0.000
Ag1 Ag 0.500 0.500 0.500
```